# 1
! YFePt2 PBE optimized geometry; values from VASP
&SYSTEM
  ibrav = 0, nat = 12, ntyp = 3
/
ATOMIC_SPECIES
Y 88.91 Y.upf
Fe 55.84 Fe.upf
Pt 195.08 Pt.upf
CELL_PARAMETERS angstrom
2.980 0.000 0.000
-1.490 2.581 0.000
0.000 0.000 27.443
ATOMIC_POSITIONS angstrom
Y 0.000 0.000 0.000
Y 0.000 1.720 18.295
Y 1.490 0.860 9.148
Fe 0.000 0.000 20.737
Fe 0.000 1.720 11.590
Fe 1.490 0.860 2.442
Pt 0.000 0.000 6.760
Pt 0.000 0.000 13.549
Pt 0.000 1.720 4.402
Pt 0.000 1.720 25.055
Pt 1.490 0.860 15.908
Pt 1.490 0.860 22.697
! - Space group: R3m
! - Energy relative to the elements: 0.065 eV per atom

---

# 2
! Y4FePt PBE optimized geometry; values from VASP
&SYSTEM
  ibrav = 0, nat = 6, ntyp = 3
/
ATOMIC_SPECIES
Y 88.91 Y.upf
Fe 55.84 Fe.upf
Pt 195.08 Pt.upf
CELL_PARAMETERS angstrom
0.000 4.246 4.246
4.246 0.000 4.246
4.246 4.246 0.000
ATOMIC_POSITIONS angstrom
Y 1.065 1.065 1.065
Y 3.182 3.182 1.065
Y 3.182 1.065 3.182
Y 1.065 3.182 3.182
Fe 6.370 6.370 6.370
Pt 4.246 4.246 4.246
! - Space group: F-43m
! - Energy relative to the elements: 0.696 eV per atom

---

# 3
! Y2FePt9 PBE optimized geometry; values from VASP
&SYSTEM
  ibrav = 0, nat = 12, ntyp = 3
/
ATOMIC_SPECIES
Y 88.91 Y.upf
Fe 55.84 Fe.upf
Pt 195.08 Pt.upf
CELL_PARAMETERS angstrom
4.073 0.000 0.000
0.000 4.073 0.000
0.000 0.000 12.119
ATOMIC_POSITIONS angstrom
Y 0.000 0.000 2.084
Y 0.000 0.000 10.035
Fe 0.000 0.000 6.059
Pt 0.000 2.037 0.000
Pt 0.000 2.037 4.222
Pt 0.000 2.037 7.897
Pt 2.037 0.000 0.000
Pt 2.037 0.000 4.222
Pt 2.037 0.000 7.897
Pt 2.037 2.037 2.104
Pt 2.037 2.037 6.059
Pt 2.037 2.037 10.015
! - Space group: P4/mmm
! - Energy relative to the elements: -0.722 eV per atom

---

# 4
! Y2Fe2Pt PBE optimized geometry; values from VASP
&SYSTEM
  ibrav = 0, nat = 10, ntyp = 3
/
ATOMIC_SPECIES
Y 88.91 Y.upf
Fe 55.84 Fe.upf
Pt 195.08 Pt.upf
CELL_PARAMETERS angstrom
6.706 0.000 0.000
0.000 6.706 0.000
0.000 0.000 4.155
ATOMIC_POSITIONS angstrom
Y 1.236 2.117 0.000
Y 2.117 5.470 0.000
Y 4.589 1.236 0.000
Y 5.470 4.589 0.000
Fe 0.772 4.125 2.077
Fe 2.581 0.772 2.077
Fe 4.125 5.934 2.077
Fe 5.934 2.581 2.077
Pt 0.000 0.000 2.077
Pt 3.353 3.353 2.077
! - Space group: P4/mbm
! - Energy relative to the elements: -0.324 eV per atom